# 1
# Pr2NiAs4Rh3

A geometry-optimized Pr2NiAs4Rh3 structure (PBE, Alexandria).

Values from the calculation:
- Calculated density: 8.53 g/cm³
- Space-group type: P-4m2 (115)
- Calculated total energy: -64.78 eV for the cell shown

Cell and atoms, written as CIF:
```
data_Pr2NiAs4Rh3
_cell_length_a 4.324
_cell_length_b 4.324
_cell_length_c 9.885
_cell_angle_alpha 90.00
_cell_angle_beta 90.00
_cell_angle_gamma 90.00
_space_group_name_H-M_alt 'P 1'
_space_group_IT_number 1
_space_group_name_Hall 'P 1'
loop_
_atom_site_label
_atom_site_type_symbol
_atom_site_fract_x
_atom_site_fract_y
_atom_site_fract_z
Pr1 Pr 0.500 0.000 0.251
Pr2 Pr 0.000 0.500 0.749
As1 As 0.000 0.500 0.372
As2 As 0.500 0.500 0.000
As3 As 0.500 0.000 0.628
As4 As 0.000 0.000 0.000
Rh1 Rh 0.500 0.000 0.878
Rh2 Rh 0.000 0.000 0.500
Rh3 Rh 0.000 0.500 0.122
Ni1 Ni 0.500 0.500 0.500
```

---

# 2
# Gd2SnSe

A geometry-optimized Gd2SnSe structure (PBE, Alexandria).

Values from the calculation:
- ΔE_f (raw): -5.02 eV per formula unit
- Calculated density: 7.61 g/cm³
- Space-group type: R-3m (166)
- Energy relative to the lowest polymorph listed for this composition: 0.0 meV per atom
- Calculated total energy: -40.67 eV for the cell shown

Cell and atoms, written as CIF:
```
data_Gd2SnSe
_cell_length_a 4.254
_cell_length_b 4.254
_cell_length_c 7.539
_cell_angle_alpha 73.61
_cell_angle_beta 73.61
_cell_angle_gamma 60.00
_space_group_name_H-M_alt 'P 1'
_space_group_IT_number 1
_space_group_name_Hall 'P 1'
loop_
_atom_site_label
_atom_site_type_symbol
_atom_site_fract_x
_atom_site_fract_y
_atom_site_fract_z
Gd1 Gd 0.253 0.253 0.240
Gd2 Gd 0.747 0.747 0.760
Se1 Se 0.000 0.000 0.000
Sn1 Sn 0.500 0.500 0.500
```

---

# 3
# Rb2NpHgTe4

A geometry-optimized Rb2NpHgTe4 structure (PBE, Alexandria).

Values from the calculation:
- ΔE_f (raw): -4.58 eV per formula unit
- Calculated density: 6.06 g/cm³
- Space-group type: I-42m (121)
- Calculated total energy: -32.33 eV for the cell shown

Cell and atoms, written as CIF:
```
data_Rb2NpHgTe4
_cell_length_a 7.645
_cell_length_b 7.399
_cell_length_c 7.399
_cell_angle_alpha 74.52
_cell_angle_beta 58.89
_cell_angle_gamma 58.89
_space_group_name_H-M_alt 'P 1'
_space_group_IT_number 1
_space_group_name_Hall 'P 1'
loop_
_atom_site_label
_atom_site_type_symbol
_atom_site_fract_x
_atom_site_fract_y
_atom_site_fract_z
Hg1 Hg 0.500 0.000 0.000
Rb1 Rb 0.500 0.500 0.500
Rb2 Rb 0.000 0.500 0.500
Te1 Te 0.921 0.000 0.646
Te2 Te 0.567 0.000 0.354
Te3 Te 0.079 0.354 0.000
Te4 Te 0.433 0.646 0.000
Np1 Np 0.000 0.000 0.000
```

---

# 4
# ZrTi3Sn

A geometry-optimized ZrTi3Sn structure (PBE, Alexandria).

Values from the calculation:
- Calculated density: 5.98 g/cm³
- Space-group type: Pnma (62)
- Energy relative to the lowest polymorph listed for this composition: 0.0 meV per atom
- Calculated total energy: -147.33 eV for the cell shown

Cell and atoms, written as CIF:
```
data_ZrTi3Sn
_cell_length_a 3.102
_cell_length_b 9.680
_cell_length_c 13.072
_cell_angle_alpha 90.00
_cell_angle_beta 90.00
_cell_angle_gamma 90.00
_space_group_name_H-M_alt 'P 1'
_space_group_IT_number 1
_space_group_name_Hall 'P 1'
loop_
_atom_site_label
_atom_site_type_symbol
_atom_site_fract_x
_atom_site_fract_y
_atom_site_fract_z
Ti1 Ti 0.750 0.124 0.834
Ti2 Ti 0.250 0.386 0.741
Ti3 Ti 0.250 0.876 0.166
Ti4 Ti 0.750 0.114 0.241
Ti5 Ti 0.750 0.614 0.259
Ti6 Ti 0.750 0.389 0.920
Ti7 Ti 0.250 0.111 0.420
Ti8 Ti 0.750 0.889 0.580
Ti9 Ti 0.250 0.611 0.080
Ti10 Ti 0.750 0.624 0.666
Ti11 Ti 0.250 0.886 0.759
Ti12 Ti 0.250 0.376 0.334
Zr1 Zr 0.750 0.364 0.531
Zr2 Zr 0.250 0.136 0.031
Zr3 Zr 0.750 0.864 0.969
Zr4 Zr 0.250 0.636 0.469
Sn1 Sn 0.750 0.371 0.138
Sn2 Sn 0.750 0.871 0.362
Sn3 Sn 0.250 0.129 0.638
Sn4 Sn 0.250 0.629 0.862
```

---

# 5
# ZrMnW2

A geometry-optimized ZrMnW2 structure (PBE, Alexandria).

Values from the calculation:
- Calculated density: 12.69 g/cm³
- Space-group type: Cmmm (65)
- Energy relative to the lowest polymorph listed for this composition: 365.1 meV per atom
- Calculated total energy: -41.90 eV for the cell shown

Cell and atoms, written as CIF:
```
data_ZrMnW2
_cell_length_a 5.372
_cell_length_b 5.372
_cell_length_c 2.711
_cell_angle_alpha 90.00
_cell_angle_beta 90.00
_cell_angle_gamma 120.75
_space_group_name_H-M_alt 'P 1'
_space_group_IT_number 1
_space_group_name_Hall 'P 1'
loop_
_atom_site_label
_atom_site_type_symbol
_atom_site_fract_x
_atom_site_fract_y
_atom_site_fract_z
Mn1 Mn 0.000 0.500 0.500
W1 W 0.000 0.000 0.000
W2 W 0.500 0.500 0.000
Zr1 Zr 0.500 0.000 0.500
```

---

# 6
# CaOsPb

A geometry-optimized CaOsPb structure (PBE, Alexandria).

Values from the calculation:
- Calculated density: 9.30 g/cm³
- Space-group type: F-43m (216)
- Calculated total energy: -13.27 eV for the cell shown

Cell and atoms, written as CIF:
```
data_CaOsPb
_cell_length_a 4.799
_cell_length_b 4.799
_cell_length_c 4.799
_cell_angle_alpha 60.00
_cell_angle_beta 60.00
_cell_angle_gamma 60.00
_space_group_name_H-M_alt 'P 1'
_space_group_IT_number 1
_space_group_name_Hall 'P 1'
loop_
_atom_site_label
_atom_site_type_symbol
_atom_site_fract_x
_atom_site_fract_y
_atom_site_fract_z
Pb1 Pb 0.500 0.500 0.500
Ca1 Ca 0.750 0.750 0.750
Os1 Os 0.000 0.000 0.000
```

---

# 7
# YHgSe2

A geometry-optimized YHgSe2 structure (PBE, Alexandria).

Values from the calculation:
- ΔE_f (raw): -4.27 eV per formula unit
- Calculated density: 5.68 g/cm³
- Space-group type: R-3m (166)
- Calculated total energy: -18.00 eV for the cell shown

Cell and atoms, written as CIF:
```
data_YHgSe2
_cell_length_a 8.943
_cell_length_b 8.943
_cell_length_c 8.943
_cell_angle_alpha 27.08
_cell_angle_beta 27.08
_cell_angle_gamma 27.08
_space_group_name_H-M_alt 'P 1'
_space_group_IT_number 1
_space_group_name_Hall 'P 1'
loop_
_atom_site_label
_atom_site_type_symbol
_atom_site_fract_x
_atom_site_fract_y
_atom_site_fract_z
Se1 Se 0.893 0.893 0.893
Se2 Se 0.107 0.107 0.107
Y1 Y 0.500 0.500 0.500
Hg1 Hg 0.000 0.000 0.000
```

---

# 8
# TmNp2PaN4

A geometry-optimized TmNp2PaN4 structure (PBE, Alexandria).

Values from the calculation:
- ΔE_f (raw): -11.11 eV per formula unit
- Calculated density: 13.25 g/cm³
- Space-group type: P2/m (10)
- Calculated total energy: -84.26 eV for the cell shown

Cell and atoms, written as CIF:
```
data_TmNp2PaN4
_cell_length_a 3.446
_cell_length_b 5.982
_cell_length_c 5.991
_cell_angle_alpha 109.29
_cell_angle_beta 90.00
_cell_angle_gamma 90.00
_space_group_name_H-M_alt 'P 1'
_space_group_IT_number 1
_space_group_name_Hall 'P 1'
loop_
_atom_site_label
_atom_site_type_symbol
_atom_site_fract_x
_atom_site_fract_y
_atom_site_fract_z
Np1 Np 0.000 0.500 0.500
Np2 Np 0.500 0.000 0.500
N1 N 0.500 0.252 0.245
N2 N 0.500 0.748 0.755
N3 N 0.000 0.749 0.248
N4 N 0.000 0.251 0.752
Pa1 Pa 0.000 0.000 0.000
Tm1 Tm 0.500 0.500 0.000
```

---

# 9
# Hf2NbTl

A geometry-optimized Hf2NbTl structure (PBE, Alexandria).

Values from the calculation:
- Calculated density: 12.69 g/cm³
- Space-group type: P4/mmm (123)
- Energy relative to the lowest polymorph listed for this composition: 0.0 meV per atom
- Calculated total energy: -32.42 eV for the cell shown

Cell and atoms, written as CIF:
```
data_Hf2NbTl
_cell_length_a 3.543
_cell_length_b 3.543
_cell_length_c 6.821
_cell_angle_alpha 90.00
_cell_angle_beta 90.00
_cell_angle_gamma 90.00
_space_group_name_H-M_alt 'P 1'
_space_group_IT_number 1
_space_group_name_Hall 'P 1'
loop_
_atom_site_label
_atom_site_type_symbol
_atom_site_fract_x
_atom_site_fract_y
_atom_site_fract_z
Hf1 Hf 0.000 0.000 0.227
Hf2 Hf 0.000 0.000 0.773
Tl1 Tl 0.500 0.500 0.500
Nb1 Nb 0.500 0.500 0.000
```

---

# 10
# HAuSN2

A geometry-optimized HAuSN2 structure (PBE, Alexandria).

Values from the calculation:
- Calculated density: 8.30 g/cm³
- Space-group type: P4/mmm (123)
- Energy relative to the lowest polymorph listed for this composition: 0.0 meV per atom
- Calculated total energy: -16.53 eV for the cell shown

Cell and atoms, written as CIF:
```
data_HAuSN2
_cell_length_a 4.111
_cell_length_b 4.111
_cell_length_c 3.057
_cell_angle_alpha 90.00
_cell_angle_beta 90.00
_cell_angle_gamma 90.00
_space_group_name_H-M_alt 'P 1'
_space_group_IT_number 1
_space_group_name_Hall 'P 1'
loop_
_atom_site_label
_atom_site_type_symbol
_atom_site_fract_x
_atom_site_fract_y
_atom_site_fract_z
N1 N 0.500 0.000 0.000
N2 N 0.000 0.500 0.000
Au1 Au 0.500 0.500 0.500
H1 H 0.000 0.000 0.000
S1 S 0.000 0.000 0.500
```

---

# 11
# LiAcCeGa

A geometry-optimized LiAcCeGa structure (PBE, Alexandria).

Values from the calculation:
- Calculated density: 6.65 g/cm³
- Space-group type: F-43m (216)
- Calculated total energy: -15.51 eV for the cell shown

Cell and atoms, written as CIF:
```
data_LiAcCeGa
_cell_length_a 5.392
_cell_length_b 5.392
_cell_length_c 5.392
_cell_angle_alpha 60.00
_cell_angle_beta 60.00
_cell_angle_gamma 60.00
_space_group_name_H-M_alt 'P 1'
_space_group_IT_number 1
_space_group_name_Hall 'P 1'
loop_
_atom_site_label
_atom_site_type_symbol
_atom_site_fract_x
_atom_site_fract_y
_atom_site_fract_z
Ce1 Ce 0.000 0.000 0.000
Ga1 Ga 0.250 0.250 0.250
Li1 Li 0.750 0.750 0.750
Ac1 Ac 0.500 0.500 0.500
```

---

# 12
# Tb3Ho6Er2Tl

A geometry-optimized Tb3Ho6Er2Tl structure (PBE, Alexandria).

Values from the calculation:
- Calculated density: 9.14 g/cm³
- Space-group type: C2/m (12)
- Calculated total energy: -52.98 eV for the cell shown

Cell and atoms, written as CIF:
```
data_Tb3Ho6Er2Tl
_cell_length_a 6.079
_cell_length_b 6.079
_cell_length_c 11.575
_cell_angle_alpha 95.07
_cell_angle_beta 95.07
_cell_angle_gamma 120.05
_space_group_name_H-M_alt 'P 1'
_space_group_IT_number 1
_space_group_name_Hall 'P 1'
loop_
_atom_site_label
_atom_site_type_symbol
_atom_site_fract_x
_atom_site_fract_y
_atom_site_fract_z
Tb1 Tb 0.833 0.167 0.500
Tb2 Tb 0.500 0.500 0.500
Tb3 Tb 0.167 0.833 0.500
Er1 Er 0.666 0.334 0.000
Er2 Er 0.334 0.666 0.000
Ho1 Ho 0.081 0.411 0.246
Ho2 Ho 0.589 0.919 0.754
Ho3 Ho 0.751 0.751 0.248
Ho4 Ho 0.249 0.249 0.752
Ho5 Ho 0.411 0.081 0.246
Ho6 Ho 0.919 0.589 0.754
Tl1 Tl 0.000 0.000 0.000
```

---

Number 1: density of states at the Fermi level 0.651 states/eV per atom, M_tot 0.00 μB per formula unit. Number 2: density of states at the Fermi level 0.489 states/eV per atom, M_tot 14.00 μB per formula unit. Number 3: density of states at the Fermi level 1.373 states/eV per atom, M_tot 3.00 μB per formula unit. Number 4: density of states at the Fermi level 0.952 states/eV per atom, M_tot 0.00 μB per formula unit. Number 5: density of states at the Fermi level 1.123 states/eV per atom, M_tot 1.73 μB per formula unit. Number 6: density of states at the Fermi level 1.423 states/eV per atom, M_tot 0.00 μB per formula unit. Number 7: density of states at the Fermi level 0.892 states/eV per atom, M_tot 0.00 μB per formula unit. Number 8: density of states at the Fermi level 1.842 states/eV per atom, M_tot 6.96 μB per formula unit. Number 9: density of states at the Fermi level 0.875 states/eV per atom, M_tot 0.00 μB per formula unit. Number 10: density of states at the Fermi level 0.561 states/eV per atom, M_tot 0.78 μB per formula unit. Number 11: density of states at the Fermi level 2.599 states/eV per atom, M_tot 0.95 μB per formula unit. Number 12: density of states at the Fermi level 1.369 states/eV per atom, M_tot 0.02 μB per formula unit.